Entry 1:
Computed, not measured: a crystal of Ti3ReCl relaxed with PBEsol at the SCAN level of DFT.

abc: 4.3150 4.3150 4.3150
angles: 90.00 90.00 90.00
Closest atoms and distances in Å follow each position.
Fractional coordinates of all 5 atoms:
Ti: 0.0000 0.0000 0.5000  2 Cl 2.16
Ti: 0.0000 0.5000 0.0000  2 Cl 2.16
Ti: 0.5000 0.0000 0.0000  2 Cl 2.16
Re: 0.5000 0.5000 0.5000  12 Ti 3.05
Cl: 0.0000 0.0000 0.0000  6 Ti 2.16

Output
Its space group is Pm-3m, No. 221. The value obtained for the total energy is -1.8525 Ry/atom. The energy relative to the elements, uncorrected is 228 meV per atom.



Entry 2:
Computed, not measured: a crystal of MgOsCl2 relaxed with PBEsol at the SCAN level of DFT.

abc: 6.5741 6.5741 6.5741
angles: 90.00 90.00 90.00
Closest atoms and distances in Å follow each position.
Fractional coordinates of all 16 atoms:
Mg: 0.0000 0.0000 0.0000  4 Os 2.85, 4 Cl 2.85
Mg: 0.0000 0.5000 0.5000  4 Os 2.85, 4 Cl 2.85
Mg: 0.5000 0.0000 0.5000  4 Os 2.85, 4 Cl 2.85
Mg: 0.5000 0.5000 0.0000  4 Os 2.85, 4 Cl 2.85
Os: 0.2500 0.2500 0.7500  4 Cl 2.85, 4 Mg 2.85
Os: 0.2500 0.7500 0.2500  4 Cl 2.85, 4 Mg 2.85
Os: 0.7500 0.2500 0.2500  4 Cl 2.85, 4 Mg 2.85
Os: 0.7500 0.7500 0.7500  4 Cl 2.85, 4 Mg 2.85
Cl: 0.0000 0.0000 0.5000  4 Cl 2.85, 4 Os 2.85
Cl: 0.0000 0.5000 0.0000  4 Cl 2.85, 4 Os 2.85
Cl: 0.2500 0.2500 0.2500  4 Cl 2.85, 4 Mg 2.85
Cl: 0.2500 0.7500 0.7500  4 Cl 2.85, 4 Mg 2.85
Cl: 0.5000 0.0000 0.0000  4 Cl 2.85, 4 Os 2.85
Cl: 0.5000 0.5000 0.5000  4 Cl 2.85, 4 Os 2.85
Cl: 0.7500 0.2500 0.7500  4 Cl 2.85, 4 Mg 2.85
Cl: 0.7500 0.7500 0.2500  4 Cl 2.85, 4 Mg 2.85

Output
Its space group is F-43m, No. 216. The value obtained for the total energy is -1.6419 Ry/atom. The energy relative to the elements, uncorrected is 863 meV per atom.



Entry 3:
Computed, not measured: a crystal of Re2Se relaxed with PBEsol at the SCAN level of DFT.

abc: 4.3362 4.3362 2.9897
angles: 90.00 90.00 120.00
Closest atoms and distances in Å follow each position.
Fractional coordinates of all 3 atoms:
Re: 0.3333 0.6667 0.0000  3 Re 2.50
Re: 0.6667 0.3333 0.0000  3 Re 2.50
Se: 0.0000 0.0000 0.5000  12 Re 2.92, 2 Se 2.99

Output
Its space group is P6/mmm, No. 191. The value obtained for the total energy is -3.8921 Ry/atom. The energy relative to the elements, uncorrected is 1137 meV per atom.